No. 1
## LiLaNd2 (GGA-PBE)

Data for crystalline LiLaNd2 at its relaxed geometry.

Cell lengths 3.4747, 3.4747, 37.2647 Å; angles 90.00, 90.00, 120.00 degrees
Space group R-3m (No. 166, hexagonal axes)
Unique sites:
Li (0.0000, 0.0000, 0.0000) x3
La (0.0000, 0.0000, 0.5000) x3
Nd (0.0000, 0.0000, 0.4079) x6

## Properties
N(E_F), states/eV per atom: 1.248
Excess energy over the best structure of this formula in the dataset, meV/atom: 161.0
Formation energy from the elements, eV per atom: 0.22

***

No. 2
## Li2LaNd (GGA-PBE)

Data for crystalline Li2LaNd at its relaxed geometry.

Cell lengths 3.4914, 3.4914, 33.5287 Å; angles 90.00, 90.00, 120.00 degrees
Space group R3m (No. 160, hexagonal axes)
Unique sites:
Li (0.0000, 0.0000, 0.0000) x3
Li (0.0000, 0.0000, 0.1645) x3
La (0.0000, 0.0000, 0.5835) x3
Nd (0.0000, 0.0000, 0.4145) x3

## Properties
N(E_F), states/eV per atom: 0.845
Excess energy over the best structure of this formula in the dataset, meV/atom: 0.0
Formation energy from the elements, eV per atom: 0.15

***

No. 3
## LiLa2Nd6 (GGA-PBE)

Data for crystalline LiLa2Nd6 at its relaxed geometry.

Cell lengths 7.095, 9.505, 9.964 Å; angles 77.21, 76.50, 72.85 degrees
Space group P-1 (No. 2)
Unique sites:
Li (0.175, 0.499, 0.034) x2
La (0.125, 0.131, 0.564) x2
La (0.411, 0.771, 0.453) x2
Nd (0.091, 0.788, 0.789) x2
Nd (0.096, 0.502, 0.637) x2
Nd (0.203, 0.868, 0.097) x2
Nd (0.275, 0.211, 0.884) x2
Nd (0.427, 0.136, 0.226) x2
Nd (0.439, 0.500, 0.245) x2

## Properties
N(E_F), states/eV per atom: 1.261
Formation energy from the elements, eV per atom: 0.09

***

No. 4
## LiLaNd2 (GGA-PBE)

Data for crystalline LiLaNd2 at its relaxed geometry.

Cell lengths 3.6127, 3.6127, 35.0403 Å; angles 90.00, 90.00, 120.00 degrees
Space group R3m (No. 160, hexagonal axes)
Unique sites:
Li (0.0000, 0.0000, 0.0000) x3
La (0.0000, 0.0000, 0.8331) x3
Nd (0.0000, 0.0000, 0.4118) x3
Nd (0.0000, 0.0000, 0.5884) x3

## Properties
N(E_F), states/eV per atom: 1.477
Excess energy over the best structure of this formula in the dataset, meV/atom: 42.9
Formation energy from the elements, eV per atom: 0.11

***

No. 5
## LiLa5Nd (GGA-PBE)

Data for crystalline LiLa5Nd at its relaxed geometry.

Cell lengths 11.811, 6.767, 12.590 Å; angles 90.00, 107.26, 90.00 degrees
Space group C2/c (No. 15)
Unique sites:
Li (0.000, 0.000, 0.000) x4
La (0.000, 0.273, 0.250) x4
La (0.163, 0.453, 0.553) x8
La (0.235, 0.058, 0.167) x8
Nd (0.000, 0.206, 0.750) x4

## Properties
N(E_F), states/eV per atom: 1.528
Formation energy from the elements, eV per atom: 0.16

***

No. 6
## LiLaNd2 (GGA-PBE)

Data for crystalline LiLaNd2 at its relaxed geometry.

Cell lengths 3.5983, 3.5983, 12.0852 Å; angles 90.00, 90.00, 120.00 degrees
Space group P3m1 (No. 156)
Unique sites:
Li (0.0000, 0.0000, 0.0000) x1
La (0.3333, 0.6667, 0.4842) x1
Nd (0.0000, 0.0000, 0.7299) x1
Nd (0.6667, 0.3333, 0.2347) x1

## Properties
N(E_F), states/eV per atom: 1.245
Excess energy over the best structure of this formula in the dataset, meV/atom: 70.6
Formation energy from the elements, eV per atom: 0.13

***

No. 7
## Li2LaNd (GGA-PBE)

Data for crystalline Li2LaNd at its relaxed geometry.

Cell lengths 7.706, 7.706, 7.706 Å; angles 90.00, 90.00, 90.00 degrees
Space group Fm-3m (No. 225)
Unique sites:
Li (0.250, 0.250, 0.250) x8
La (0.000, 0.000, 0.000) x4
Nd (0.000, 0.000, 0.500) x4

## Properties
N(E_F), states/eV per atom: 1.635
Excess energy over the best structure of this formula in the dataset, meV/atom: 3.2
Formation energy from the elements, eV per atom: 0.15

***

No. 8
## Li2LaNd (GGA-PBE)

Data for crystalline Li2LaNd at its relaxed geometry.

Cell lengths 3.3915, 3.3915, 36.6395 Å; angles 90.00, 90.00, 120.00 degrees
Space group R-3m (No. 166, hexagonal axes)
Unique sites:
Li (0.0000, 0.0000, 0.0892) x6
La (0.0000, 0.0000, 0.0000) x3
Nd (0.0000, 0.0000, 0.5000) x3

## Properties
N(E_F), states/eV per atom: 1.316
Excess energy over the best structure of this formula in the dataset, meV/atom: 98.6
Formation energy from the elements, eV per atom: 0.25